Sb2RhCl | Alexandria | PBE | relaxed; uncorrected formation energy = -0.18 eV/f.u.; space-group type = P4mm (99); M_tot = 0.00 μB per cell; crystal system = tetragonal; calculated density = 6.63 Mg/m³; density of states at the Fermi level = 0.4881 states/eV per atom; calculated volume = 95.6 Å³/cell
1.0
-0.7481 -1.8992 -2.9605
1.8181 -2.7998 1.3366
-6.1913 -2.5060 3.1722
Cl Rh Sb
1 1 2
direct
0.0000 0.0000 0.5526 Cl
0.5000 0.5000 0.8166 Rh
0.0000 0.0000 0.9346 Sb
0.5000 0.5000 0.1962 Sb